(1)
MnP3C GGA-PBE relaxed; raw total energy = -28.7 eV per formula unit; energy above the most stable polymorph in this dataset = 0 meV/atom; N(E_F) = 6.045 states/eV per cell
1.0
-0.5953 2.8748 -2.5708
-1.4587 -2.5758 -2.5426
-3.5701 0.5731 1.4675
P C Mn
3 1 1
Direct
0.0000 0.5000 0.0000
0.0000 0.0000 0.5000
0.5000 0.0000 0.0000
0.0000 0.0000 0.0000
0.5000 0.5000 0.5000

---

(2)
ScU2Pt9 GGA-PBE relaxed; raw total energy = -93.5 eV per formula unit; N(E_F) = 13.972 states/eV per cell
1.0
-0.8723 -1.4498 -3.7500
3.2145 -2.5563 0.2405
-7.2174 -8.6050 5.0057
Sc U Pt
1 2 9
Direct
0.0000 0.0000 0.0000
0.0000 0.0000 0.3283
0.0000 0.0000 0.6717
0.5000 0.5000 0.0000
0.5000 0.5000 0.3298
0.5000 0.5000 0.6702
0.5000 0.0000 0.1612
0.5000 0.0000 0.5000
0.5000 0.0000 0.8388
0.0000 0.5000 0.1612
0.0000 0.5000 0.5000
0.0000 0.5000 0.8388

---

(3)
NpUMnCr GGA-PBE relaxed; raw total energy = -42.3 eV per formula unit; N(E_F) = 7.136 states/eV per cell
1.0
-3.9755 -0.0902 1.9184
-2.6455 -3.4891 -0.5658
-0.7668 -2.7572 3.3619
Np Cr Mn U
1 1 1 1
Direct
0.7500 0.7500 0.7500
0.5000 0.5000 0.5000
0.2500 0.2500 0.2500
0.0000 0.0000 0.0000

---

(4)
ZrAlCu GGA-PBE relaxed; raw total energy = -16.4 eV per formula unit; N(E_F) = 1.732 states/eV per cell
1.0
-0.9607 -0.9853 -2.5857
2.2607 -1.3141 1.3199
-4.4080 -4.2947 3.2743
Cu Zr Al
1 1 1
Direct
0.6667 0.3333 0.3141
0.3333 0.6667 0.6604
0.0000 0.0000 0.0255

---

(5)
TlAsRh2 GGA-PBE relaxed; raw total energy = -22.0 eV per formula unit; N(E_F) = 2.561 states/eV per cell
1.0
-0.1920 1.0639 2.8600
-2.3501 -1.9107 0.5529
3.5014 -6.2489 2.5596
Tl Rh As
1 2 1
Direct
0.5000 0.2500 0.2500
0.0000 0.1448 0.9446
0.0000 0.3552 0.5554
0.5000 0.7500 0.7500

---

(6)
LiPmGaCu GGA-PBE relaxed; raw total energy = -15.2 eV per formula unit; N(E_F) = 0.886 states/eV per cell
1.0
-1.0219 -4.1295 -1.9030
3.2781 -3.2978 -0.3103
-0.2583 -3.8020 2.6826
Li Cu Ga Pm
1 1 1 1
Direct
0.7500 0.7500 0.7500
0.2500 0.2500 0.2500
0.5000 0.5000 0.5000
0.0000 0.0000 0.0000